Below is a geometry-optimized BaZr2CdRu structure, with properties calculated at the PBE level.

Cell lengths 5.363, 5.363, 5.104 Å; angles 90.00, 90.00, 90.00 degrees
Sites, in units of the cell vectors:
Ba 0.000 0.000 0.000
Zr 0.000 0.500 0.500
Zr 0.500 0.000 0.500
Cd 0.500 0.500 0.500
Ru 0.500 0.500 0.000

Computed properties:
Magnetic moment, μB/f.u.: 0.81
Calculated total energy, Ry/atom: -0.3439
Energy of formation, eV per formula unit: 5.818